## SiMoPCl2 (PBE-GGA)

Data for a geometry-optimized SiMoPCl2 structure.

Structure (POSCAR):
```
SiMoPCl2
1.0
4.564 0.000 0.000
0.000 4.564 0.000
0.000 0.000 4.965
Si Mo P Cl
1 1 1 2
Direct
0.000 0.000 0.000
0.500 0.500 0.500
0.000 0.000 0.500
0.000 0.500 0.000
0.500 0.000 0.000
```

Its offset from the most stable computed form is 196 meV per atom. The value obtained for the uncorrected formation energy is 3.487 eV/f.u. The space-group type is P4/mmm (123).

=====

## AlZnCl2 (PBE-GGA)

Data for a geometry-optimized AlZnCl2 structure.

Structure (POSCAR):
```
AlZnCl2
1.0
3.326 0.000 0.000
0.000 7.330 0.000
0.000 0.000 9.036
Al Zn Cl
2 2 4
Direct
0.000 0.000 0.000
0.500 0.500 0.500
0.000 0.500 0.719
0.500 0.000 0.219
0.000 0.000 0.410
0.000 0.500 0.309
0.500 0.000 0.809
0.500 0.500 0.910
```

Its offset from the most stable computed form is 181 meV per atom. The value obtained for the uncorrected formation energy is -2.035 eV/f.u. The space-group type is Imm2 (44).

=====

## CsH2I2 (PBE-GGA)

Data for a geometry-optimized CsH2I2 structure.

Structure (POSCAR):
```
CsH2I2
1.0
6.127 -2.943 0.000
6.127 2.943 0.000
-5.321 0.000 9.810
Cs H I
2 4 4
Direct
0.100 0.900 0.750
0.900 0.100 0.250
0.446 0.488 0.987
0.488 0.446 0.487
0.512 0.554 0.513
0.554 0.512 0.013
0.162 0.343 0.123
0.343 0.162 0.623
0.657 0.838 0.377
0.838 0.657 0.877
```

Its offset from the most stable computed form is 0 meV per atom. The space-group type is C2/c (15).

=====

## Cs2NpCd2S6 (PBE-GGA)

Data for a geometry-optimized Cs2NpCd2S6 structure.

Structure (POSCAR):
```
Cs2NpCd2S6
1.0
3.840 2.217 7.129
-3.840 2.217 7.129
0.000 -4.434 7.129
Cs Np Cd S
2 1 2 6
Direct
0.217 0.217 0.217
0.783 0.783 0.783
0.000 0.000 0.000
0.398 0.398 0.398
0.602 0.602 0.602
0.225 0.225 0.774
0.225 0.774 0.225
0.226 0.775 0.775
0.774 0.225 0.225
0.775 0.226 0.775
0.775 0.775 0.226
```

The value obtained for the uncorrected formation energy is -9.082 eV/f.u. The space-group type is R-3m (166).

=====

## Li2BiPb6 (PBE-GGA)

Data for a geometry-optimized Li2BiPb6 structure.

Structure (POSCAR):
```
Li2BiPb6
1.0
8.591 -1.761 0.000
8.591 1.761 0.000
-2.737 0.000 8.381
Li Bi Pb
2 1 6
Direct
0.030 0.030 0.290
0.970 0.970 0.710
0.500 0.500 0.000
0.159 0.159 0.937
0.300 0.300 0.694
0.394 0.394 0.410
0.606 0.606 0.590
0.700 0.700 0.306
0.841 0.841 0.063
```

The calculation puts the formation enthalpy at 0 K at -96 meV/atom. The space-group type is C2/m (12).

=====

## Nd12Dy7Tl (PBE-GGA)

Data for a geometry-optimized Nd12Dy7Tl structure.

Structure (POSCAR):
```
Nd12Dy7Tl
1.0
6.151 3.551 5.153
-6.151 3.551 5.153
0.000 -7.102 5.153
Nd Dy Tl
12 7 1
Direct
0.006 0.884 0.358
0.116 0.642 0.994
0.236 0.368 0.760
0.240 0.764 0.632
0.358 0.006 0.884
0.368 0.760 0.236
0.632 0.240 0.764
0.642 0.994 0.116
0.760 0.236 0.368
0.764 0.632 0.240
0.884 0.358 0.006
0.994 0.116 0.642
0.000 0.000 0.000
0.118 0.437 0.354
0.354 0.118 0.437
0.437 0.354 0.118
0.563 0.646 0.882
0.646 0.882 0.563
0.882 0.563 0.646
0.500 0.500 0.500
```

The calculation puts the formation enthalpy at 0 K at 156 meV/atom. The space-group type is R-3 (148).

=====

## AcPr4Sm2Er (PBE-GGA)

Data for a geometry-optimized AcPr4Sm2Er structure.

Structure (POSCAR):
```
AcPr4Sm2Er
1.0
5.220 0.000 0.000
0.000 5.249 0.000
0.000 0.000 10.467
Ac Pr Sm Er
1 4 2 1
Direct
0.000 0.000 0.000
0.000 0.500 0.258
0.000 0.500 0.742
0.500 0.000 0.258
0.500 0.000 0.742
0.000 0.000 0.500
0.500 0.500 0.000
0.500 0.500 0.500
```

The calculation puts the formation enthalpy at 0 K at 22 meV/atom. The space-group type is Pmmm (47).

=====

## Ac4Tl2GaHg (PBE-GGA)

Data for a geometry-optimized Ac4Tl2GaHg structure.

Structure (POSCAR):
```
Ac4Tl2GaHg
1.0
2.885 1.666 9.362
-2.885 1.666 9.362
0.000 -3.332 9.362
Ac Tl Ga Hg
4 2 1 1
Direct
0.122 0.122 0.122
0.372 0.372 0.372
0.628 0.628 0.628
0.878 0.878 0.878
0.247 0.247 0.247
0.753 0.753 0.753
0.000 0.000 0.000
0.500 0.500 0.500
```

The calculation puts the formation enthalpy at 0 K at -383 meV/atom. The space-group type is R-3m (166).

=====

## GaCu2Au5 (PBE-GGA)

Data for a geometry-optimized GaCu2Au5 structure.

Structure (POSCAR):
```
GaCu2Au5
1.0
5.842 0.000 0.000
0.000 5.842 0.000
0.000 0.000 7.739
Ga Cu Au
2 4 10
Direct
0.000 0.000 0.000
0.500 0.500 0.500
0.000 0.500 0.000
0.000 0.500 0.500
0.500 0.000 0.000
0.500 0.000 0.500
0.000 0.000 0.500
0.250 0.250 0.250
0.250 0.250 0.750
0.250 0.750 0.250
0.250 0.750 0.750
0.500 0.500 0.000
0.750 0.250 0.250
0.750 0.250 0.750
0.750 0.750 0.250
0.750 0.750 0.750
```

Its offset from the most stable computed form is 0 meV per atom. The calculation puts the formation enthalpy at 0 K at -66 meV/atom. The space-group type is I4/mmm (139).

=====

## TlIn5Se8 (PBE-GGA)

Data for a geometry-optimized TlIn5Se8 structure.

Structure (POSCAR):
```
TlIn5Se8
1.0
10.097 -2.024 0.000
10.097 2.024 0.000
-1.931 0.000 9.843
Tl In Se
1 5 8
Direct
0.000 0.000 0.000
0.134 0.134 0.377
0.224 0.224 0.842
0.500 0.500 0.500
0.776 0.776 0.158
0.866 0.866 0.623
0.090 0.090 0.608
0.256 0.256 0.339
0.338 0.338 0.037
0.443 0.443 0.738
0.557 0.557 0.262
0.662 0.662 0.963
0.744 0.744 0.661
0.910 0.910 0.392
```

The value obtained for the uncorrected formation energy is -7.158 eV/f.u. The space-group type is C2/m (12).

=====

## Sr2AlCr (PBE-GGA)

Data for a geometry-optimized Sr2AlCr structure.

Structure (POSCAR):
```
Sr2AlCr
1.0
5.625 0.000 0.000
0.000 5.625 0.000
0.000 0.000 3.933
Sr Al Cr
2 1 1
Direct
0.000 0.500 0.000
0.500 0.000 0.000
0.000 0.000 0.500
0.500 0.500 0.500
```

The calculation puts the formation enthalpy at 0 K at 338 meV/atom. The space-group type is P4/mmm (123).

=====

## Na3La3RhO8 (PBE-GGA)

Data for a geometry-optimized Na3La3RhO8 structure.

Structure (POSCAR):
```
Na3La3RhO8
1.0
3.541 2.045 5.538
-3.541 2.045 5.538
0.000 -4.089 5.538
Na La Rh O
3 3 1 8
Direct
0.000 0.500 0.500
0.500 0.000 0.500
0.500 0.500 0.000
0.000 0.000 0.500
0.000 0.500 0.000
0.500 0.000 0.000
0.500 0.500 0.500
0.240 0.240 0.240
0.276 0.713 0.713
0.287 0.287 0.724
0.287 0.724 0.287
0.713 0.276 0.713
0.713 0.713 0.276
0.724 0.287 0.287
0.760 0.760 0.760
```

The value obtained for the uncorrected formation energy is -33.551 eV/f.u. The space-group type is R-3m (166).